Entry from the Alexandria database: a relaxed BaLi2 crystal (PBE).

The raw total energy is -1.78 eV per atom. As for the energy relative to the elements: 13.2 kJ/mol of atoms. Its crystal system is tetragonal.

The space group is P4/mmm (No. 123) and the conventional cell measures 4.123, 4.123 and 6.340 Å, with angles of 90.00, 90.00 and 90.00 degrees. Symmetry generates all atoms from Ba at (0.000, 0.000, 0.000) and Li at (0.000, 0.500, 0.500).

=====

Entry from the Alexandria database: a relaxed BaLi5 crystal (PBE).

The raw total energy is -1.89 eV per atom. Its excess energy over the best structure of this formula in the dataset is 0.000 eV per atom. As for the energy relative to the elements: 2.8 kJ/mol of atoms. Its crystal system is hexagonal.

The space group is P6/mmm (No. 191) and the conventional cell measures 6.5004, 6.5004 and 4.6955 Å, with angles of 90.00, 90.00 and 120.00 degrees. Symmetry generates all atoms from Ba at (0.0000, 0.0000, 0.0000), Li at (0.0000, 0.5000, 0.5000) and Li at (0.3333, 0.6667, 0.0000).

=====

Entry from the Alexandria database: a relaxed Ba3Li crystal (PBE).

The raw total energy is -1.83 eV per atom. As for the energy relative to the elements: 9.1 kJ/mol of atoms. Its crystal system is orthorhombic.

The space group is Cmmm (No. 65) and the conventional cell measures 9.441, 9.474 and 4.830 Å, with angles of 90.00, 90.00 and 90.00 degrees. Symmetry generates all atoms from Ba at (0.000, 0.000, 0.000), Ba at (0.250, 0.250, 0.500) and Li at (0.000, 0.500, 0.000).

=====

Entry from the Alexandria database: a relaxed BaLi crystal (PBE).

The raw total energy is -1.46 eV per atom. Its excess energy over the best structure of this formula in the dataset is 0.417 eV per atom. As for the energy relative to the elements: 44.4 kJ/mol of atoms. Its crystal system is cubic.

The space group is I-43m (No. 217) and the conventional cell measures 10.164, 10.164 and 10.164 Å, with angles of 90.00, 90.00 and 90.00 degrees. Symmetry generates all atoms from Ba at (0.211, 0.211, 0.789) and Li at (0.097, 0.097, 0.097).

=====

Entry from the Alexandria database: a relaxed BaLi crystal (PBE).

The raw total energy is -1.74 eV per atom. Its excess energy over the best structure of this formula in the dataset is 0.134 eV per atom. As for the energy relative to the elements: 17.0 kJ/mol of atoms. Its crystal system is trigonal.

The space group is R-3m (No. 166, hexagonal axes) and the conventional cell measures 4.2238, 4.2238 and 17.2494 Å, with angles of 90.00, 90.00 and 120.00 degrees. Symmetry generates all atoms from Ba at (0.0000, 0.0000, 0.0000) and Li at (0.0000, 0.0000, 0.5000).

=====

Entry from the Alexandria database: a relaxed Ba5Li crystal (PBE).

The raw total energy is -1.88 eV per atom. Its excess energy over the best structure of this formula in the dataset is 0.015 eV per atom. As for the energy relative to the elements: 4.1 kJ/mol of atoms. Its crystal system is orthorhombic.

The space group is Cmmm (No. 65) and the conventional cell measures 7.006, 20.889 and 4.651 Å, with angles of 90.00, 90.00 and 90.00 degrees. Symmetry generates all atoms from Ba at (0.000, 0.000, 0.000), Ba at (0.000, 0.182, 0.500), Ba at (0.000, 0.364, 0.000) and Li at (0.000, 0.500, 0.500).

=====

Entry from the Alexandria database: a relaxed Ba5Li crystal (PBE).

The raw total energy is -1.88 eV per atom. Its excess energy over the best structure of this formula in the dataset is 0.012 eV per atom. As for the energy relative to the elements: 3.8 kJ/mol of atoms. Its crystal system is monoclinic.

The space group is Cm (No. 8) and the conventional cell measures 15.149, 4.501 and 10.749 Å, with angles of 90.00, 111.26 and 90.00 degrees. Symmetry generates all atoms from Ba at (0.000, 0.000, 0.000), Ba at (0.036, 0.000, 0.430), Ba at (0.193, 0.500, 0.839), Ba at (0.229, 0.500, 0.270), Ba at (0.365, 0.000, 0.635) and Li at (0.364, 0.000, 0.134).

=====

Entry from the Alexandria database: a relaxed BaLi crystal (PBE).

The raw total energy is -1.76 eV per atom. Its excess energy over the best structure of this formula in the dataset is 0.116 eV per atom. As for the energy relative to the elements: 15.4 kJ/mol of atoms. Its crystal system is trigonal.

The space group is P-3m1 (No. 164) and the conventional cell measures 4.4206, 4.4206 and 10.6204 Å, with angles of 90.00, 90.00 and 120.00 degrees. Symmetry generates all atoms from Ba at (0.3333, 0.6667, 0.1745) and Li at (0.3333, 0.6667, 0.5674).